The following is a GGA-PBEsol calculation of a geometry-optimized TcWAu2 structure, from the Alexandria database.

Calculated density   17.98 g/cm3
V   62.4 Å³ per cell
Total moment   0.0 μB/cell
DOS(E_F)   0.6467 states/eV/atom
Energy   -7.8546 eV per atom

a b c (Å): 2.7357 4.2490 5.3698
angles (deg): 90.00 90.00 90.00
Closest atoms and distances in Å follow each position.
Sites, in units of the cell vectors:
Tc 0.5000 0.5000 0.0000  2 W 2.68, 2 Tc 2.74, 8 Au 2.86
Au 0.0000 0.0000 0.2504  4 Au 2.68-2.74, 4 W 2.86, 4 Tc 2.86
Au 0.0000 0.0000 0.7496  4 Au 2.68-2.74, 4 W 2.86, 4 Tc 2.86
W 0.5000 0.5000 0.5000  2 Tc 2.68, 2 W 2.74, 8 Au 2.86

The following is a GGA-PBEsol calculation of a geometry-optimized Tl2GaW structure, from the Alexandria database.

Calculated density   13.03 g/cm3
V   84.4 Å³ per cell
Total moment   2.4 μB/cell
DOS(E_F)   0.6348 states/eV/atom
Energy   -4.4843 eV per atom

a b c (Å): 4.9243 4.9243 4.9243
angles (deg): 60.00 60.00 60.00
Closest atoms and distances in Å follow each position.
Sites, in units of the cell vectors:
W 0.5000 0.5000 0.5000  8 Tl 3.02
Tl 0.2500 0.2500 0.2500  4 W 3.02, 4 Ga 3.02
Tl 0.7500 0.7500 0.7500  4 Ga 3.02, 4 W 3.02
Ga 0.0000 0.0000 0.0000  8 Tl 3.02

The following is a GGA-PBEsol calculation of a geometry-optimized Pt3RhI structure, from the Alexandria database.

Calculated density   12.10 g/cm3
V   111.8 Å³ per cell
Total moment   1.4 μB/cell
DOS(E_F)   1.6228 states/eV/atom
Energy   -4.4620 eV per atom
Energy relative to the elements, uncorrected   1.70 eV per atom

a b c (Å): 4.8178 4.8178 4.8178
angles (deg): 90.00 90.00 90.00
Closest atoms and distances in Å follow each position.
Sites, in units of the cell vectors:
Pt 0.0000 0.0000 0.5000  2 I 2.41
Pt 0.5000 0.0000 0.0000  2 I 2.41
I 0.0000 0.0000 0.0000  6 Pt 2.41
Pt 0.0000 0.5000 0.0000  2 I 2.41
Rh 0.5000 0.5000 0.5000  12 Pt 3.41

The following is a GGA-PBEsol calculation of a geometry-optimized Sr2MgAg structure, from the Alexandria database.

Calculated density   4.01 g/cm3
V   127.2 Å³ per cell
Total moment   0.0 μB/cell
DOS(E_F)   0.8474 states/eV/atom
Energy   -2.2761 eV per atom

a b c (Å): 3.7903 5.7103 6.8841
angles (deg): 116.21 105.98 90.00
Closest atoms and distances in Å follow each position.
Sites, in units of the cell vectors:
Sr 0.0112 0.0070 0.0224  4 Ag 3.43-3.47, 1 Mg 3.66, 4 Sr 3.68-3.79
Mg 0.8016 0.3096 0.6032  2 Ag 2.80
Ag 0.4768 0.4664 0.9536  2 Mg 2.80
Sr 0.2104 0.7169 0.4209  2 Ag 3.34, 4 Mg 3.57-3.61, 2 Sr 3.68-3.70

The following is a GGA-PBEsol calculation of a geometry-optimized ScSi2As structure, from the Alexandria database.

Calculated density   4.42 g/cm3
V   66.1 Å³ per cell
Total moment   0.0 μB/cell
DOS(E_F)   0.6725 states/eV/atom
Energy   -6.1034 eV per atom
Energy relative to the elements, uncorrected   -0.30 eV per atom

a b c (Å): 3.4100 4.6832 5.0542
angles (deg): 117.60 109.71 90.00
Closest atoms and distances in Å follow each position.
Sites, in units of the cell vectors:
Sc 0.2558 0.7558 0.5117  8 Si 2.78-3.04, 4 As 2.84-3.00
Si 0.7414 0.2414 0.4829  2 Si 2.50, 2 As 2.62
As 0.4818 0.4818 0.9636  6 Si 2.62-2.91, 2 Sc 2.84
Si 0.0209 0.0209 0.0418  2 Si 2.50, 2 Sc 2.78

The following is a GGA-PBEsol calculation of a geometry-optimized SrYSc structure, from the Alexandria database.

Calculated density   3.78 g/cm3
V   97.4 Å³ per cell
Total moment   0.0 μB/cell
DOS(E_F)   1.8351 states/eV/atom
Energy   -4.8579 eV per atom

a b c (Å): 3.5807 3.5807 8.7688
angles (deg): 90.00 90.00 120.00
Closest atoms and distances in Å follow each position.
Sites, in units of the cell vectors:
Sc 0.0000 0.0000 0.0185  3 Y 3.26, 6 Sc 3.58, 3 Sr 3.65
Y 0.6667 0.3333 0.3062  3 Sc 3.26, 6 Y 3.58
Sr 0.3333 0.6667 0.6753  6 Sr 3.58, 3 Sc 3.65, 3 Y 3.84

The following is a GGA-PBEsol calculation of a geometry-optimized SrCr2Hg structure, from the Alexandria database.

Calculated density   9.08 g/cm3
V   71.7 Å³ per cell
Total moment   0.0 μB/cell
DOS(E_F)   0.9555 states/eV/atom
Energy   -4.4716 eV per atom

a b c (Å): 2.7823 2.7823 9.2611
angles (deg): 90.00 90.00 89.96
Closest atoms and distances in Å follow each position.
Sites, in units of the cell vectors:
Cr 0.0000 0.0000 0.2801  4 Cr 2.78, 4 Hg 2.83
Sr 0.5000 0.5000 0.0000  4 Sr 2.78
Hg 0.5000 0.5000 0.5000  4 Hg 2.78, 8 Cr 2.83
Cr 0.0000 0.0000 0.7199  4 Cr 2.78, 4 Hg 2.83

The following is a GGA-PBEsol calculation of a geometry-optimized Ta5Mo2 structure, from the Alexandria database.

Calculated density   15.44 g/cm3
V   118.0 Å³ per cell
Total moment   0.0 μB/cell
DOS(E_F)   1.0710 states/eV/atom
Energy   -12.3916 eV per atom

a b c (Å): 2.8333 6.9531 7.0154
angles (deg): 118.17 97.07 97.69
Closest atoms and distances in Å follow each position.
Sites, in units of the cell vectors:
Mo 0.7178 0.8573 0.7868  5 Ta 2.71-2.81, 3 Mo 2.80-2.83
Ta 0.1617 0.5666 0.3565  2 Mo 2.71-2.81, 6 Ta 2.78-2.83
Ta 0.5694 0.2780 0.9287  2 Mo 2.72-2.74, 6 Ta 2.80-2.86
Ta 0.4306 0.7220 0.0713  2 Mo 2.72-2.74, 6 Ta 2.80-2.86
Ta 0.8383 0.4334 0.6435  2 Mo 2.71-2.81, 6 Ta 2.78-2.83
Mo 0.2822 0.1427 0.2132  5 Ta 2.71-2.81, 3 Mo 2.80-2.83
Ta 0.0000 0.0000 0.5000  2 Mo 2.78, 6 Ta 2.80-2.83

> Number 4 is which compound?

Sr2MgAg

> Among the records above, which one has the highest V?

Sr2MgAg

> Among the records above, which one has the highest DOS(E_F)?

SrYSc